First-principles (PBE) data for crystalline TiMnSN2 at its relaxed geometry, as listed in the Alexandria database.

```
TiMnSN2
1.0
-0.505 3.088 1.774
-0.071 -1.800 3.113
4.733 0.535 0.417
Ti Mn S N
1 1 1 2
Cartesian
2.079 0.912 2.652
0.000 0.000 0.000
2.367 0.267 0.208
-0.253 1.544 0.887
-0.035 -0.900 1.557
```

Summary:
DOS at the Fermi energy in states/eV per atom: 1.128
Polymorph energy (0 for the lowest one) in meV per atom: 16.5
SG: P4/mmm (123)
DFT total energy in eV per atom: -7.389